1.
The following is a DFT calculation (GGA-PBE) of crystalline NdSmPtI at its relaxed geometry.

a b c (Å): 4.2480 4.2480 24.3421
angles (deg): 90.00 90.00 120.00
Space group R3m (No. 160, hexagonal axes)
Symmetry-distinct sites (fractional):
Nd (0.0000, 0.0000, 0.0000) [3 per cell]
Sm (0.0000, 0.0000, 0.2100) [3 per cell]
Pt (0.0000, 0.0000, 0.6039) [3 per cell]
I (0.0000, 0.0000, 0.7741) [3 per cell]

Calculated values
N(E_F) in states/eV per cell: 9.24
Energy relative to the elements, uncorrected in eV/atom: -1.11


2.
The following is a DFT calculation (GGA-PBE) of crystalline BaAl2I at its relaxed geometry.

a b c (Å): 9.3499 9.3499 6.5502
angles (deg): 90.00 90.00 90.00
Space group I-42d (No. 122)
Symmetry-distinct sites (fractional):
Ba (0.0000, 0.0000, 0.0000) [4 per cell]
Al (0.2278, 0.7500, 0.6250) [8 per cell]
I (0.0000, 0.0000, 0.5000) [4 per cell]

Calculated values
N(E_F) in states/eV per cell: 9.74
Energy relative to the elements, uncorrected in eV/atom: 0.10
ΔE to the lowest computed polymorph in meV per atom: 0.0


3.
The following is a DFT calculation (GGA-PBE) of crystalline Y2HfW at its relaxed geometry.

a b c (Å): 8.2639 8.2639 5.9399
angles (deg): 90.00 90.00 90.00
Space group I-42d (No. 122)
Symmetry-distinct sites (fractional):
Y (0.2154, 0.7500, 0.1250) [8 per cell]
Hf (0.0000, 0.0000, 0.5000) [4 per cell]
W (0.0000, 0.0000, 0.0000) [4 per cell]

Calculated values
N(E_F) in states/eV per cell: 17.41
ΔE to the lowest computed polymorph in meV per atom: 317.1
Energy of formation in meV/atom: 948


4.
The following is a DFT calculation (GGA-PBE) of crystalline In2NiCl at its relaxed geometry.

a b c (Å): 3.2558 3.2558 7.6198
angles (deg): 90.00 90.00 90.00
Space group P4/mmm (No. 123)
Symmetry-distinct sites (fractional):
In (0.0000, 0.0000, 0.2056) [2 per cell]
Ni (0.5000, 0.5000, 0.0000) [1 per cell]
Cl (0.5000, 0.5000, 0.5000) [1 per cell]

Calculated values
N(E_F) in states/eV per cell: 2.61
Energy relative to the elements, uncorrected in eV/atom: -0.17
ΔE to the lowest computed polymorph in meV per atom: 85.3